CaSb2Au9 (GGA-PBE, optimized geometry); D(E_F) = 4.4 states/eV per cell; V = 21.5 Å³ per atom; density = 13.2 g/cm³
1.0
2.810 1.622 9.436
-2.810 1.622 9.436
0.000 -3.244 9.436
Ca Sb Au
1 2 9
Direct
0.000 0.000 0.000
0.157 0.157 0.157
0.843 0.843 0.843
0.081 0.584 0.584
0.334 0.334 0.334
0.416 0.416 0.919
0.416 0.919 0.416
0.500 0.500 0.500
0.584 0.081 0.584
0.584 0.584 0.081
0.666 0.666 0.666
0.919 0.416 0.416

CaSbAu3 (GGA-PBE, optimized geometry); D(E_F) = 6.9 states/eV per cell; V = 22.6 Å³ per atom; polymorph energy (0 for the lowest one) = 0.0 kJ/mol of atoms; density = 11.1 g/cm³
1.0
7.540 0.000 0.000
0.000 7.622 0.000
-3.374 0.000 7.848
Ca Sb Au
4 4 12
Direct
0.193 0.045 0.225
0.193 0.455 0.725
0.807 0.545 0.275
0.807 0.955 0.775
0.378 0.738 0.543
0.378 0.762 0.043
0.622 0.238 0.957
0.622 0.262 0.457
0.020 0.678 0.052
0.020 0.822 0.552
0.215 0.072 0.863
0.215 0.428 0.363
0.391 0.127 0.622
0.391 0.373 0.122
0.609 0.627 0.878
0.609 0.873 0.378
0.785 0.572 0.637
0.785 0.928 0.137
0.980 0.178 0.448
0.980 0.322 0.948

Ca2SbAu (GGA-PBE, optimized geometry); D(E_F) = 0.6 states/eV per cell; V = 26.6 Å³ per atom; density = 6.2 g/cm³
1.0
3.836 0.000 0.000
0.000 5.269 0.000
-0.001 0.000 5.271
Ca Sb Au
2 1 1
Direct
0.000 0.000 0.000
0.001 0.500 0.501
0.507 0.000 0.500
0.457 0.500 0.001

Ca3SbAu8 (GGA-PBE, optimized geometry); D(E_F) = 2.7 states/eV per cell; V = 21.8 Å³ per atom; density = 11.6 g/cm³
1.0
2.817 1.626 9.499
-2.817 1.626 9.499
0.000 -3.252 9.499
Ca Sb Au
3 1 8
Direct
0.000 0.000 0.000
0.130 0.130 0.130
0.518 0.518 0.518
0.636 0.636 0.636
0.069 0.069 0.564
0.069 0.564 0.069
0.075 0.571 0.571
0.320 0.320 0.320
0.564 0.069 0.069
0.571 0.075 0.571
0.571 0.571 0.075
0.820 0.820 0.820

Ca5Sb5Au2 (GGA-PBE, optimized geometry); D(E_F) = 3.7 states/eV per cell; V = 28.3 Å³ per atom; density = 5.9 g/cm³
1.0
8.176 -2.272 0.000
8.176 2.272 0.000
-7.782 0.000 9.126
Ca Sb Au
5 5 2
Direct
0.000 0.000 0.000
0.104 0.104 0.408
0.192 0.192 0.818
0.808 0.808 0.182
0.896 0.896 0.592
0.258 0.258 0.325
0.429 0.429 0.137
0.500 0.500 0.500
0.571 0.571 0.863
0.742 0.742 0.675
0.364 0.364 0.757
0.636 0.636 0.243

Ca3Sb3Au8 (GGA-PBE, optimized geometry); D(E_F) = 3.0 states/eV per cell; V = 23.0 Å³ per atom; density = 10.6 g/cm³
1.0
8.386 -2.351 0.000
8.386 2.351 0.000
-5.474 0.000 8.164
Ca Sb Au
3 3 8
Direct
0.000 0.000 0.000
0.300 0.300 0.275
0.700 0.700 0.725
0.000 0.000 0.500
0.335 0.335 0.701
0.665 0.665 0.299
0.132 0.132 0.855
0.141 0.141 0.426
0.340 0.340 0.977
0.500 0.500 0.313
0.500 0.500 0.687
0.660 0.660 0.023
0.859 0.859 0.574
0.868 0.868 0.145

Number 1: calculated total energy -3.478 eV/atom. Number 2: calculated total energy -3.644 eV/atom. Number 3: calculated total energy -3.708 eV/atom. Number 4: calculated total energy -3.557 eV/atom. Number 5: calculated total energy -3.920 eV/atom. Number 6: calculated total energy -3.693 eV/atom.